Compound: CsNbC2
Source: Alexandria
Functional: PBE
Structure: optimized geometry

POSCAR file:
```
CsNbC2
1.0
-2.691 4.153 4.427
2.447 -3.689 4.948
3.819 2.813 4.662
C Cs Nb
4 2 2
Cartesian
1.475 -0.044 5.919
2.039 3.438 10.461
0.252 1.799 3.443
3.385 1.361 8.250
0.000 0.000 0.000
0.503 3.599 6.888
-0.122 0.232 4.687
3.072 -0.322 7.149
```

Values from the calculation:
Theoretical density: 4.00 g/cm³
E_tot: -6.532 eV/atom
ΔE to the lowest computed polymorph: 0.000 eV per formula unit
SG: I4_1/amd (141)
Total moment: 0.000 μB per atom
Formation energy from the elements: 0.8103 eV/atom